<1>
Sm4ErTh | GGA-PBE | optimized geometry

```
Sm4ErTh
1.0
3.434 0.000 0.000
0.000 8.332 -0.101
0.000 -0.087 8.332
Th Sm Er
1 4 1
Cartesian
1.717 0.000 0.000
1.717 6.081 2.154
3.434 1.960 1.957
0.000 6.285 6.274
1.717 2.164 6.077
0.000 4.122 4.115
```

Summary:
**Symmetry**: No. 65


<2>
Sm4ErTh | GGA-PBE | optimized geometry

```
Sm4ErTh
1.0
3.590 -0.003 -0.002
-1.792 7.625 -5.443
-0.001 -5.063 10.847
Th Sm Er
1 4 1
Cartesian
3.589 -0.002 -0.002
1.795 2.523 -1.779
0.003 0.043 3.627
1.795 2.515 1.777
0.001 0.037 7.181
0.003 5.091 -0.020
```

Summary:
**Symmetry**: No. 12


Least stable structure: <1>


<1>
Sm3ErTh2 | GGA-PBE | optimized geometry

```
Sm3ErTh2
1.0
3.605 0.000 0.000
0.000 10.056 1.159
0.000 -1.290 10.680
Sm Er Th
6 2 4
Cartesian
2.704 5.946 3.396
2.704 5.221 10.531
2.704 0.572 6.385
0.901 8.195 5.453
0.901 3.546 1.308
0.901 2.821 8.443
0.901 7.832 9.024
2.704 0.935 2.815
0.901 3.261 4.898
2.704 -0.007 9.937
0.901 8.774 1.902
2.704 5.506 6.940
```

Summary:
**Symmetry**: No. 11


<2>
Sm3ErTh2 | GGA-PBE | optimized geometry

```
Sm3ErTh2
1.0
6.627 -0.090 0.046
0.115 6.154 -3.140
-0.058 0.889 9.343
Sm Th Er
6 4 2
Cartesian
1.624 1.027 5.846
1.689 4.086 4.285
5.028 5.810 3.954
4.995 2.867 1.964
1.657 1.142 2.295
5.061 5.926 0.403
3.280 2.398 8.570
3.405 4.555 -2.321
6.651 1.467 -0.745
0.034 5.486 6.994
4.970 2.739 5.535
1.714 4.214 0.714
```

Summary:
**Symmetry**: No. 15


Least stable structure: <2>


<1>
SmEr2Th2 | GGA-PBE | optimized geometry

```
SmEr2Th2
1.0
3.544 0.000 0.439
1.745 3.085 0.439
-0.007 -0.004 14.591
Er Th Sm
2 2 1
Cartesian
3.167 1.847 3.483
2.115 1.233 11.985
1.052 0.613 6.040
4.230 2.467 9.429
0.000 0.000 0.000
```

Summary:
**Symmetry**: No. 166


<2>
SmEr2Th2 | GGA-PBE | optimized geometry

```
SmEr2Th2
1.0
-3.103 1.007 -1.416
0.730 -3.456 0.408
-5.970 0.311 13.298
Er Th Sm
2 2 1
Cartesian
-2.344 -1.875 3.800
-6.000 -0.263 8.490
-2.419 -0.450 0.514
-5.924 -1.689 11.776
-2.985 0.155 6.649
```

Summary:
**Symmetry**: No. 164


Least stable structure: <2>


<1>
Sm4Er3Th2 | GGA-PBE | optimized geometry

```
Sm4Er3Th2
1.0
6.141 0.078 0.490
0.674 9.389 3.437
0.273 -0.390 10.009
Sm Th Er
8 4 6
Cartesian
4.744 7.806 9.065
3.452 0.548 8.679
5.522 3.935 3.352
1.566 5.142 10.584
2.344 1.270 4.871
0.671 7.587 3.676
3.636 8.528 5.257
6.417 1.489 10.260
1.789 6.859 7.381
2.339 4.891 4.487
4.748 4.185 9.449
5.299 2.218 6.556
5.122 5.610 6.383
1.966 3.466 7.553
4.318 6.463 12.173
1.335 8.545 10.502
2.769 2.614 1.764
5.753 0.532 3.435
```

Summary:
**Symmetry**: No. 15


<2>
Sm4Er3Th2 | GGA-PBE | optimized geometry

```
Sm4Er3Th2
1.0
-1.048 2.027 2.742
2.286 -2.685 0.538
20.513 16.581 -4.422
Th Er Sm
2 3 4
Cartesian
1.897 1.939 1.612
17.961 14.923 -1.850
13.449 11.276 -0.878
20.133 16.274 -4.340
6.650 5.375 -1.433
15.619 12.625 -3.367
8.931 7.624 0.096
4.540 4.075 1.043
11.184 9.040 -2.411
```

Summary:
**Symmetry**: No. 156


Least stable structure: <1>


<1>
Sm4Er5Th2 | GGA-PBE | optimized geometry

```
Sm4Er5Th2
1.0
3.104 0.279 -1.588
0.630 8.766 -1.049
-3.985 -1.087 15.245
Er Sm Th
5 4 2
Cartesian
-0.811 3.614 4.861
2.019 0.738 2.420
1.552 0.139 -0.794
0.560 4.343 7.747
-2.271 7.219 10.189
-1.389 1.652 11.450
0.997 6.741 5.050
-1.249 1.215 7.558
1.138 6.305 1.159
-2.842 4.621 12.781
2.591 3.336 -0.172
```

Summary:
**Symmetry**: No. 2


<2>
Sm4Er5Th2 | GGA-PBE | optimized geometry

```
Sm4Er5Th2
1.0
-3.368 0.479 -0.736
2.189 -1.795 -11.180
-0.933 -8.301 7.099
Sm Th Er
4 2 5
Cartesian
-0.867 -2.291 -5.751
1.604 -1.315 -8.192
-1.245 -7.326 0.932
0.585 -0.480 -2.988
-0.615 -3.620 0.461
-1.497 -5.997 -5.279
0.089 -3.754 -2.846
-2.201 -5.863 -1.972
1.002 -4.503 -7.512
-1.684 0.239 -0.368
-3.114 -5.114 2.694
```

Summary:
**Symmetry**: No. 71


Least stable structure: <2>


<1>
Sm3Er6Th | GGA-PBE | optimized geometry

```
Sm3Er6Th
1.0
8.688 0.000 4.611
3.121 8.108 4.611
2.197 1.509 6.351
Sm Th Er
3 1 6
Cartesian
7.746 5.319 6.386
3.017 2.071 4.807
6.480 4.450 8.771
11.287 7.750 10.205
10.263 5.087 8.688
6.338 2.306 5.592
8.333 1.752 8.768
5.454 7.751 7.107
7.520 7.148 10.303
3.591 4.451 7.235
```

Summary:
**Symmetry**: No. 155


<2>
Sm3Er6Th | GGA-PBE | optimized geometry

```
Sm3Er6Th
1.0
9.019 0.000 0.000
0.000 8.875 -1.059
0.000 -3.013 8.415
Sm Er Th
6 12 2
Cartesian
3.876 2.760 -0.111
8.385 3.102 7.467
8.385 -0.724 2.666
3.876 6.586 4.690
8.269 2.350 4.141
3.760 3.512 3.215
0.899 5.195 5.015
7.119 -2.355 7.890
5.409 3.729 6.183
2.609 8.217 -0.535
5.409 0.667 2.341
2.426 2.219 6.414
5.963 0.372 5.718
2.426 0.105 3.762
6.936 5.757 3.594
1.453 5.491 1.638
6.936 3.643 0.942
0.899 2.133 1.173
0.192 -0.342 6.287
4.702 6.205 1.069
```

Summary:
**Symmetry**: No. 36


Least stable structure: <1>


<1>
Sm3Er3Th | GGA-PBE | optimized geometry

```
Sm3Er3Th
1.0
7.992 0.783 3.706
2.675 7.572 3.706
1.000 0.783 8.753
Th Sm Er
2 6 6
Cartesian
7.658 5.999 10.610
4.009 3.140 5.554
7.306 4.899 5.377
5.427 1.547 8.628
6.240 7.592 7.536
8.613 3.218 8.295
4.361 4.240 10.787
3.054 5.921 7.868
9.577 6.266 7.645
4.567 6.523 4.667
7.100 2.616 11.497
7.049 1.342 5.805
4.618 7.797 10.359
2.090 2.872 8.519
```

Summary:
**Symmetry**: No. 148


<2>
Sm3Er3Th | GGA-PBE | optimized geometry

```
Sm3Er3Th
1.0
-0.829 5.641 0.255
-6.217 -1.239 7.224
9.338 1.287 1.865
Er Sm Th
6 6 2
Cartesian
-3.549 3.593 4.803
-1.403 3.777 7.693
5.842 2.097 4.540
2.302 1.558 4.956
-0.009 4.131 4.388
3.696 1.912 1.650
0.031 1.349 2.191
-4.719 0.479 6.028
2.261 4.340 7.152
0.973 1.213 8.285
7.012 5.211 3.316
1.320 4.477 1.058
-1.239 1.013 5.501
3.531 4.676 3.842
```

Summary:
**Symmetry**: No. 176


Least stable structure: <1>


<1>
Sm6ErTh | GGA-PBE | optimized geometry

```
Sm6ErTh
1.0
5.101 0.000 0.000
0.000 5.101 0.000
0.000 0.000 10.182
Er Th Sm
1 1 6
Cartesian
0.000 0.000 0.000
0.000 0.000 5.091
2.551 2.551 0.000
2.551 2.551 5.091
2.551 0.000 7.621
2.551 0.000 2.562
0.000 2.551 7.621
0.000 2.551 2.562
```

Summary:
**Symmetry**: No. 123


<2>
Sm6ErTh | GGA-PBE | optimized geometry

```
Sm6ErTh
1.0
-2.438 3.471 -2.875
3.076 -2.739 -5.913
-5.542 -4.539 -0.781
Th Er Sm
1 1 6
Cartesian
-1.375 -1.679 -5.426
-5.683 -2.579 -2.861
-4.146 -3.950 -5.818
0.450 -1.625 -2.343
1.964 -2.971 -5.251
-2.276 -3.857 -2.726
-2.912 -0.308 -2.469
-0.762 -5.203 -5.634
```

Summary:
**Symmetry**: No. 123


Least stable structure: <1>